Material: Co2OsBr
Method: DFT, PBE
State: optimized geometry

a = 6.6219 Å, b = 6.6219 Å, c = 6.6219 Å
α = 155.00°, β = 147.01°, γ = 41.83°
Sites, in units of the cell vectors:
Co 0.0000 0.0000 0.0000
Co 0.6084 0.1084 0.5000
Os 0.1731 0.6731 0.5000
Br 0.3518 0.3518 0.0000

Output
The calculation puts the excess energy over the best structure of this formula in the dataset at 5.03 kcal/mol of atoms. The calculation puts the energy relative to the elements, uncorrected at 783.5 meV/atom. The calculation puts the magnetic moment at 3.5 μB per formula unit.

---

Material: CoOs2Br
Method: DFT, PBE
State: optimized geometry

a = 2.8155 Å, b = 3.5245 Å, c = 6.8120 Å
α = 90.00°, β = 90.00°, γ = 90.00°
Sites, in units of the cell vectors:
Co 0.0000 0.0000 0.0000
Os 0.0000 0.0000 0.6255
Os 0.5000 0.5000 0.8041
Br 0.0000 0.5000 0.2959

Output
The calculation puts the excess energy over the best structure of this formula in the dataset at 0.00 kcal/mol of atoms. The calculation puts the energy relative to the elements, uncorrected at 710.4 meV/atom. The calculation puts the magnetic moment at 1.6 μB per formula unit.